LiNpPb | PBE | optimized geometry

abc: 4.7493 4.7493 4.7493
angles: 60.00 60.00 60.00
Last column: nearest neighbours and their distance in Å.
Fractional coordinates of all 3 atoms:
Np: 0.2500 0.2500 0.2500  4 Li 2.91
Pb: 0.7500 0.7500 0.7500  4 Li 2.91
Li: 0.0000 0.0000 0.0000  4 Np 2.91, 4 Pb 2.91

Values from the calculation:
SG: F-43m, No. 216
Size of the total moment, μB per cell: 4.04
VASP energy, eV for the cell shown: -17.3